First-principles (PBE-GGA) data for a relaxed structure of RbHf, as listed in Alexandria.

Unit cell a=8.751 b=4.949 c=17.781 alpha=90.00 beta=90.00 gamma=90.00
Sites, in units of the cell vectors:
Rb 0.865 0.750 0.072
Rb 0.135 0.250 0.928
Rb 0.635 0.250 0.572
Rb 0.632 0.250 0.256
Rb 0.365 0.750 0.428
Rb 0.368 0.750 0.744
Rb 0.868 0.750 0.756
Rb 0.132 0.250 0.244
Hf 0.382 0.750 0.105
Hf 0.618 0.250 0.895
Hf 0.486 0.250 0.036
Hf 0.014 0.750 0.536
Hf 0.986 0.250 0.464
Hf 0.882 0.750 0.395
Hf 0.118 0.250 0.605
Hf 0.514 0.750 0.964

Results
N(E_F) = 11.9 states/eV per cell
ΔH_f (0 K) = 0.948 eV/atom
energy above the most stable polymorph in this dataset = 0.287 eV/atom
DFT total energy = -72.21 eV for the cell shown

First-principles (PBE-GGA) data for a relaxed structure of RbHf, as listed in Alexandria.

Unit cell a=6.908 b=17.814 c=10.472 alpha=90.00 beta=90.00 gamma=90.00
Last column: magnetic moment on the atom in μB.
Sites, in units of the cell vectors:
Rb 0.250 0.250 0.090  0.01
Rb 0.500 0.000 0.840  0.01
Rb 0.000 0.000 0.660  0.01
Rb 0.750 0.750 0.090  0.01
Rb 0.500 0.500 0.660  0.01
Rb 0.250 0.750 0.910  0.01
Rb 0.000 0.500 0.840  0.01
Rb 0.250 0.250 0.410  0.01
Rb 0.500 0.000 0.160  0.01
Rb 0.750 0.250 0.590  0.01
Rb 0.500 0.500 0.340  0.01
Rb 0.000 0.500 0.160  0.01
Rb 0.750 0.750 0.410  0.01
Rb 0.000 0.000 0.340  0.01
Rb 0.250 0.750 0.590  0.01
Rb 0.750 0.250 0.910  0.01
Hf 0.000 0.425 0.500  0.10
Hf 0.750 0.675 0.750  0.10
Hf 0.750 0.825 0.750  0.10
Hf 0.750 0.325 0.250  0.10
Hf 0.250 0.325 0.750  0.10
Hf 0.750 0.175 0.250  0.10
Hf 0.500 0.575 0.000  0.10
Hf 0.250 0.825 0.250  0.10
Hf 0.500 0.425 0.000  0.10
Hf 0.500 0.075 0.500  0.10
Hf 0.250 0.175 0.750  0.10
Hf 0.000 0.075 0.000  0.10
Hf 0.000 0.575 0.500  0.10
Hf 0.500 0.925 0.500  0.10
Hf 0.250 0.675 0.250  0.10
Hf 0.000 0.925 0.000  0.10

Results
N(E_F) = 52.0 states/eV per cell
ΔH_f (0 K) = 1.537 eV/atom
energy above the most stable polymorph in this dataset = 0.876 eV/atom
DFT total energy = -125.56 eV for the cell shown

First-principles (PBE-GGA) data for a relaxed structure of Rb3Hf, as listed in Alexandria.

Unit cell a=6.856 b=6.856 c=6.856 alpha=120.51 beta=120.51 gamma=89.12
Last column: magnetic moment on the atom in μB.
Sites, in units of the cell vectors:
Rb 0.750 0.250 0.500  0.03
Rb 0.500 0.500 0.000  0.03
Rb 0.250 0.750 0.500  0.03
Hf 0.000 0.000 0.000  1.36

Results
N(E_F) = 4.5 states/eV per cell
ΔH_f (0 K) = 1.159 eV/atom
energy above the most stable polymorph in this dataset = 0.000 eV/atom
DFT total energy = -8.22 eV for the cell shown

First-principles (PBE-GGA) data for a relaxed structure of RbHf4, as listed in Alexandria.

Unit cell a=4.989 b=4.989 c=4.989 alpha=90.00 beta=90.00 gamma=90.00
Sites, in units of the cell vectors:
Hf 0.000 0.000 0.000
Hf 0.500 0.000 0.500
Hf 0.000 0.500 0.500
Hf 0.500 0.500 0.000
Rb 0.500 0.500 0.500

Results
N(E_F) = 7.1 states/eV per cell
ΔH_f (0 K) = 2.160 eV/atom
DFT total energy = -29.98 eV for the cell shown

First-principles (PBE-GGA) data for a relaxed structure of RbHf, as listed in Alexandria.

Unit cell a=10.665 b=10.665 c=10.665 alpha=90.00 beta=90.00 gamma=90.00
Last column: magnetic moment on the atom in μB.
Sites, in units of the cell vectors:
Hf 0.250 0.000 0.500  1.51
Hf 0.500 0.750 0.000  1.51
Hf 0.000 0.500 0.250  1.51
Hf 0.000 0.500 0.750  1.51
Hf 0.500 0.250 0.000  1.51
Hf 0.750 0.000 0.500  1.51
Rb 0.500 0.000 0.250  0.05
Rb 0.500 0.000 0.750  0.05
Rb 0.250 0.500 0.000  0.05
Rb 0.000 0.250 0.500  0.05
Rb 0.000 0.750 0.500  0.05
Rb 0.750 0.500 0.000  0.05

Results
N(E_F) = 36.5 states/eV per cell
ΔH_f (0 K) = 2.885 eV/atom
energy above the most stable polymorph in this dataset = 2.224 eV/atom
DFT total energy = -30.91 eV for the cell shown

First-principles (PBE-GGA) data for a relaxed structure of RbHf, as listed in Alexandria.

Unit cell a=3.255 b=3.255 c=13.824 alpha=90.00 beta=90.00 gamma=120.00
Last column: magnetic moment on the atom in μB.
Sites, in units of the cell vectors:
Hf 0.667 0.333 0.165  0.24
Hf 0.333 0.667 0.665  0.24
Rb 0.333 0.667 0.417  0.02
Rb 0.667 0.333 0.917  0.02

Results
N(E_F) = 7.0 states/eV per cell
ΔH_f (0 K) = 1.193 eV/atom
energy above the most stable polymorph in this dataset = 0.532 eV/atom
DFT total energy = -17.07 eV for the cell shown

First-principles (PBE-GGA) data for a relaxed structure of RbHf, as listed in Alexandria.

Unit cell a=11.259 b=11.259 c=11.259 alpha=90.00 beta=90.00 gamma=90.00
Last column: magnetic moment on the atom in μB.
Sites, in units of the cell vectors:
Rb 0.711 0.711 0.711  0.01
Rb 0.211 0.789 0.789  0.01
Rb 0.789 0.789 0.211  0.01
Rb 0.289 0.289 0.711  0.01
Rb 0.789 0.211 0.789  0.01
Rb 0.289 0.711 0.289  0.01
Rb 0.211 0.211 0.211  0.01
Rb 0.711 0.289 0.289  0.01
Hf 0.087 0.087 0.913  0.52
Hf 0.587 0.413 0.587  0.52
Hf 0.587 0.587 0.413  0.52
Hf 0.913 0.913 0.913  0.52
Hf 0.087 0.913 0.087  0.52
Hf 0.913 0.087 0.087  0.52
Hf 0.413 0.587 0.587  0.52
Hf 0.413 0.413 0.413  0.52

Results
N(E_F) = 30.0 states/eV per cell
ΔH_f (0 K) = 1.347 eV/atom
energy above the most stable polymorph in this dataset = 0.686 eV/atom
DFT total energy = -65.82 eV for the cell shown

First-principles (PBE-GGA) data for a relaxed structure of RbHf, as listed in Alexandria.

Unit cell a=6.995 b=6.995 c=6.995 alpha=90.00 beta=90.00 gamma=90.00
Last column: magnetic moment on the atom in μB.
Sites, in units of the cell vectors:
Rb 0.000 0.000 0.000  0.03
Rb 0.000 0.500 0.500  0.03
Rb 0.500 0.000 0.500  0.03
Rb 0.500 0.500 0.000  0.03
Hf 0.500 0.000 0.000  0.60
Hf 0.500 0.500 0.500  0.60
Hf 0.000 0.000 0.500  0.60
Hf 0.000 0.500 0.000  0.60

Results
N(E_F) = 19.3 states/eV per cell
ΔH_f (0 K) = 2.524 eV/atom
energy above the most stable polymorph in this dataset = 1.863 eV/atom
DFT total energy = -23.50 eV for the cell shown

First-principles (PBE-GGA) data for a relaxed structure of RbHf, as listed in Alexandria.

Unit cell a=8.421 b=8.421 c=8.421 alpha=90.00 beta=90.00 gamma=90.00
Last column: magnetic moment on the atom in μB.
Sites, in units of the cell vectors:
Hf 0.000 0.500 0.500  1.49
Hf 0.500 0.500 0.000  1.49
Hf 0.000 0.000 0.000  1.49
Hf 0.500 0.000 0.500  1.49
Rb 0.250 0.750 0.750  0.05
Rb 0.750 0.250 0.750  0.05
Rb 0.750 0.750 0.250  0.05
Rb 0.250 0.250 0.250  0.05

Results
N(E_F) = 28.1 states/eV per cell
ΔH_f (0 K) = 2.891 eV/atom
energy above the most stable polymorph in this dataset = 2.230 eV/atom
DFT total energy = -20.56 eV for the cell shown

First-principles (PBE-GGA) data for a relaxed structure of RbHf, as listed in Alexandria.

Unit cell a=14.282 b=14.282 c=3.228 alpha=90.00 beta=90.00 gamma=120.00
Last column: magnetic moment on the atom in μB.
Sites, in units of the cell vectors:
Rb 0.297 0.940 0.250  0.00
Rb 0.940 0.643 0.750  0.00
Rb 0.060 0.357 0.250  0.00
Rb 0.357 0.297 0.750  0.00
Rb 0.703 0.060 0.750  0.00
Rb 0.643 0.703 0.250  0.00
Hf 0.348 0.563 0.750  0.31
Hf 0.214 0.652 0.750  0.31
Hf 0.437 0.786 0.750  0.31
Hf 0.652 0.437 0.250  0.31
Hf 0.563 0.214 0.250  0.31
Hf 0.786 0.348 0.250  0.31

Results
N(E_F) = 10.7 states/eV per cell
ΔH_f (0 K) = 1.099 eV/atom
energy above the most stable polymorph in this dataset = 0.438 eV/atom
DFT total energy = -52.34 eV for the cell shown

First-principles (PBE-GGA) data for a relaxed structure of RbHf, as listed in Alexandria.

Unit cell a=7.334 b=7.334 c=7.492 alpha=90.00 beta=90.00 gamma=90.00
Last column: magnetic moment on the atom in μB.
Sites, in units of the cell vectors:
Rb 0.836 0.164 0.000  0.02
Rb 0.164 0.836 0.000  0.02
Rb 0.336 0.336 0.500  0.02
Rb 0.664 0.664 0.500  0.02
Hf 0.378 0.378 0.000  0.50
Hf 0.122 0.878 0.500  0.50
Hf 0.622 0.622 0.000  0.50
Hf 0.878 0.122 0.500  0.50

Results
N(E_F) = 9.7 states/eV per cell
ΔH_f (0 K) = 1.880 eV/atom
energy above the most stable polymorph in this dataset = 1.220 eV/atom
DFT total energy = -28.64 eV for the cell shown

First-principles (PBE-GGA) data for a relaxed structure of RbHf, as listed in Alexandria.

Unit cell a=14.897 b=14.897 c=3.332 alpha=90.00 beta=90.00 gamma=90.00
Sites, in units of the cell vectors:
Rb 0.757 0.766 0.500
Rb 0.234 0.757 0.500
Rb 0.628 0.007 0.000
Rb 0.766 0.243 0.500
Rb 0.007 0.372 0.000
Rb 0.372 0.993 0.000
Rb 0.993 0.628 0.000
Rb 0.243 0.234 0.500
Hf 0.402 0.597 0.500
Hf 0.261 0.498 0.000
Hf 0.403 0.402 0.500
Hf 0.498 0.739 0.000
Hf 0.597 0.598 0.500
Hf 0.739 0.502 0.000
Hf 0.598 0.403 0.500
Hf 0.502 0.261 0.000

Results
N(E_F) = 18.8 states/eV per cell
ΔH_f (0 K) = 0.714 eV/atom
energy above the most stable polymorph in this dataset = 0.053 eV/atom
DFT total energy = -75.94 eV for the cell shown

Q: Which value of DFT total energy does entry 8 give?
A: -23.50 eV for the cell shown

Q: The highest DFT total energy belongs to which entry?
A: Rb3Hf

Please write out number 4 again, unchanged.
First-principles (PBE-GGA) data for a relaxed structure of RbHf4, as listed in Alexandria.

Unit cell a=4.989 b=4.989 c=4.989 alpha=90.00 beta=90.00 gamma=90.00
Sites, in units of the cell vectors:
Hf 0.000 0.000 0.000
Hf 0.500 0.000 0.500
Hf 0.000 0.500 0.500
Hf 0.500 0.500 0.000
Rb 0.500 0.500 0.500

Results
N(E_F) = 7.1 states/eV per cell
ΔH_f (0 K) = 2.160 eV/atom
DFT total energy = -29.98 eV for the cell shown